# 1
This record from the Alexandria database describes Li2CaTbHg4 after structural relaxation. The functional is PBE.

Computed properties:
density of states at the Fermi level = 3.83 states/eV/f.u.
formation energy from the elements = -0.431 eV/atom
space-group type = R-3m
magnetic moment = 0.0 μB/f.u.

a = 5.0628 Å, b = 5.0628 Å, c = 8.8329 Å
α = 73.35°, β = 73.35°, γ = 60.00°
Element x y z (fractional)
Hg: 0.6224 0.6224 0.1329
Hg: 0.3776 0.3776 0.8671
Hg: 0.8737 0.8737 0.3789
Hg: 0.1263 0.1263 0.6211
Li: 0.2494 0.2494 0.2519
Li: 0.7506 0.7506 0.7481
Ca: 0.0000 0.0000 0.0000
Tb: 0.5000 0.5000 0.5000



# 2
This record from the Alexandria database describes LiCaThHg after structural relaxation. The functional is PBE.

Computed properties:
density of states at the Fermi level = 3.56 states/eV/f.u.
formation energy from the elements = -0.061 eV/atom
space-group type = F-43m
magnetic moment = 0.0 μB/f.u.

a = 5.3523 Å, b = 5.3523 Å, c = 5.3523 Å
α = 60.00°, β = 60.00°, γ = 60.00°
Element x y z (fractional)
Th: 0.2500 0.2500 0.2500
Ca: 0.7500 0.7500 0.7500
Li: 0.0000 0.0000 0.0000
Hg: 0.5000 0.5000 0.5000



# 3
This record from the Alexandria database describes Li2CaTl2Hg2 after structural relaxation. The functional is PBE.

Computed properties:
density of states at the Fermi level = 4.17 states/eV/f.u.
formation energy from the elements = -0.244 eV/atom
space-group type = R-3m
magnetic moment = 0.0 μB/f.u.

a = 4.8683 Å, b = 4.8683 Å, c = 8.8709 Å
α = 74.07°, β = 74.07°, γ = 60.00°
Element x y z (fractional)
Ca: 0.0000 0.0000 0.0000
Li: 0.1410 0.1410 0.5769
Li: 0.8590 0.8590 0.4231
Hg: 0.4413 0.4413 0.6762
Hg: 0.5587 0.5587 0.3238
Tl: 0.2650 0.2650 0.2049
Tl: 0.7350 0.7350 0.7951



# 4
This record from the Alexandria database describes LiCa2TlHg4 after structural relaxation. The functional is PBE.

Computed properties:
density of states at the Fermi level = 3.77 states/eV/f.u.
formation energy from the elements = -0.395 eV/atom
space-group type = R-3m
magnetic moment = 0.0 μB/f.u.

a = 5.2131 Å, b = 5.2131 Å, c = 8.9846 Å
α = 73.14°, β = 73.14°, γ = 60.00°
Element x y z (fractional)
Hg: 0.8680 0.8680 0.3960
Hg: 0.6132 0.6132 0.1604
Hg: 0.1320 0.1320 0.6040
Hg: 0.3868 0.3868 0.8396
Ca: 0.7442 0.7442 0.7673
Ca: 0.2558 0.2558 0.2327
Tl: 0.0000 0.0000 0.0000
Li: 0.5000 0.5000 0.5000